(1)
A geometry-optimized PSe2S structure. Source: Alexandria, functional PBE-GGA.

Calculated values
E above lowest polymorph = 428 meV/atom
Energy relative to the elements, uncorrected = 0.436 eV per atom
Fermi-level density of states = 10.12 states/eV per cell
Calculated volume = 22.092 Å³/atom

Lattice parameters (Å, degrees): 6.761 6.761 7.732 90.00 90.00 90.00
Space group I-42d (No. 122)
One atom of each set of equivalent atoms:
P1 0.000 0.000 0.000
Se1 0.230 0.250 0.125
S1 0.000 0.000 0.500

(2)
A geometry-optimized CsAcPb2I8 structure. Source: Alexandria, functional PBE-GGA.

Calculated values
Energy relative to the elements, uncorrected = -1.049 eV per atom
Fermi-level density of states = 0.00 states/eV per cell
Calculated volume = 51.915 Å³/atom

Lattice parameters (Å, degrees): 7.654 8.021 10.150 89.87 89.83 89.03
Space group P-1 (No. 2)
One atom of each set of equivalent atoms:
Cs1 0.000 0.000 0.000
Ac1 0.000 0.000 0.500
Pb1 0.500 0.500 0.245
I1 0.249 0.339 0.500
I2 0.265 0.839 0.719
I3 0.266 0.841 0.281
I4 0.267 0.389 0.001

- Look up the calculated volume of the second one.
  51.915 Å³/atom